Below is a relaxed structure of PaAsRu, with properties calculated at the PBE level.

Computed properties:
The crystal system is orthorhombic. The calculation puts the formation energy at -0.50 eV per atom.

Lattice parameters (Å, degrees): 4.361 4.361 6.837 90.00 90.00 110.85
Atoms (fractional coordinates):
Pa 0.161 0.839 0.750
Pa 0.839 0.161 0.250
As 0.500 0.500 0.000
As 0.500 0.500 0.500
Ru 0.235 0.765 0.250
Ru 0.765 0.235 0.750